Nd6DyIn2 after structural relaxation. Source: Alexandria via LeMat-Bulk, functional GGA-PBE.

POSCAR file:
```
Nd6DyIn2
1.0
3.4803 0.0014 0.0013
1.7468 9.4922 2.5144
1.7468 2.9280 9.3729
Nd Dy In
6 1 2
Cartesian
3.4856 10.3821 5.8152 Nd
3.4883 2.0395 6.0734 Nd
3.4883 6.1569 1.7714 Nd
3.4869 5.1362 7.0670 Nd
3.4869 7.2853 4.8215 Nd
3.4856 6.2646 10.1173 Nd
3.4803 0.0014 0.0013 Dy
1.7499 4.3052 4.1205 In
5.2239 8.1163 7.7681 In
```

Results
DFT total energy: -4.376 eV per atom
volume: 284.0 Å³ per cell
excess energy over the best structure of this formula in the dataset: 1.08 eV per formula unit
mass density: 7.35 Mg/m³
total moment: 0.000 μB/f.u.